[1]
A plane-wave DFT calculation with PBE-GGA was carried out for crystalline Cd2GaHg4 at its relaxed geometry.

Geometry as CIF:
```
data_Cd2GaHg4
_chemical_formula_sum 'Cd4 Ga2 Hg8'
_space_group_name_H-M_alt 'P 1'
_space_group_IT_number 1
_space_group_name_Hall 'P 1'
_cell_length_a 8.999
_cell_length_b 9.148
_cell_length_c 4.323
_cell_angle_alpha 90.00
_cell_angle_beta 90.00
_cell_angle_gamma 90.00
loop_
_atom_site_label
_atom_site_type_symbol
_atom_site_fract_x
_atom_site_fract_y
_atom_site_fract_z
Cd1 Cd 0.227 0.000 0.000
Cd2 Cd 0.273 0.500 0.000
Cd3 Cd 0.727 0.500 0.000
Cd4 Cd 0.773 0.000 0.000
Ga1 Ga 0.000 0.000 0.500
Ga2 Ga 0.500 0.500 0.500
Hg1 Hg 0.000 0.299 0.000
Hg2 Hg 0.000 0.701 0.000
Hg3 Hg 0.250 0.250 0.500
Hg4 Hg 0.250 0.750 0.500
Hg5 Hg 0.500 0.201 0.000
Hg6 Hg 0.500 0.799 0.000
Hg7 Hg 0.750 0.250 0.500
Hg8 Hg 0.750 0.750 0.500
```

## Properties
ΔE_f   0.047 eV per atom
Calculated volume   25.4 Å³ per atom
Polymorph energy (0 for the lowest one)   0.000 eV/atom
Space-group type   No. 65

***

[2]
A plane-wave DFT calculation with PBE-GGA was carried out for crystalline Cd6GaHg5 at its relaxed geometry.

Geometry as CIF:
```
data_Cd6GaHg5
_chemical_formula_sum 'Cd6 Ga1 Hg5'
_space_group_name_H-M_alt 'P 1'
_space_group_IT_number 1
_space_group_name_Hall 'P 1'
_cell_length_a 8.666
_cell_length_b 8.666
_cell_length_c 5.045
_cell_angle_alpha 104.54
_cell_angle_beta 104.54
_cell_angle_gamma 51.74
loop_
_atom_site_label
_atom_site_type_symbol
_atom_site_fract_x
_atom_site_fract_y
_atom_site_fract_z
Cd1 Cd 0.075 0.600 0.268
Cd2 Cd 0.223 0.777 0.000
Cd3 Cd 0.400 0.925 0.732
Cd4 Cd 0.600 0.075 0.268
Cd5 Cd 0.777 0.223 0.000
Cd6 Cd 0.925 0.400 0.732
Ga1 Ga 0.000 0.000 0.500
Hg1 Hg 0.179 0.179 0.248
Hg2 Hg 0.343 0.343 0.790
Hg3 Hg 0.500 0.500 0.500
Hg4 Hg 0.657 0.657 0.210
Hg5 Hg 0.821 0.821 0.752
```

## Properties
ΔE_f   0.035 eV per atom
Calculated volume   23.8 Å³ per atom
Polymorph energy (0 for the lowest one)   0.005 eV/atom
Space-group type   No. 12

***

[3]
A plane-wave DFT calculation with PBE-GGA was carried out for crystalline Cd2Ga2Hg at its relaxed geometry.

Geometry as CIF:
```
data_Cd2Ga2Hg
_chemical_formula_sum 'Cd4 Ga4 Hg2'
_space_group_name_H-M_alt 'P 1'
_space_group_IT_number 1
_space_group_name_Hall 'P 1'
_cell_length_a 5.258
_cell_length_b 3.069
_cell_length_c 13.609
_cell_angle_alpha 90.00
_cell_angle_beta 90.12
_cell_angle_gamma 90.00
loop_
_atom_site_label
_atom_site_type_symbol
_atom_site_fract_x
_atom_site_fract_y
_atom_site_fract_z
Cd1 Cd 0.166 0.000 0.286
Cd2 Cd 0.334 0.500 0.714
Cd3 Cd 0.666 0.500 0.286
Cd4 Cd 0.834 0.000 0.714
Ga1 Ga 0.164 0.000 0.913
Ga2 Ga 0.336 0.500 0.087
Ga3 Ga 0.664 0.500 0.913
Ga4 Ga 0.836 0.000 0.087
Hg1 Hg 0.000 0.500 0.500
Hg2 Hg 0.500 0.000 0.500
```

## Properties
ΔE_f   0.057 eV per atom
Calculated volume   22.0 Å³ per atom
Polymorph energy (0 for the lowest one)   0.000 eV/atom
Space-group type   No. 12

***

[4]
A plane-wave DFT calculation with PBE-GGA was carried out for crystalline Cd7GaHg4 at its relaxed geometry.

Geometry as CIF:
```
data_Cd7GaHg4
_chemical_formula_sum 'Cd7 Ga1 Hg4'
_space_group_name_H-M_alt 'P 1'
_space_group_IT_number 1
_space_group_name_Hall 'P 1'
_cell_length_a 4.309
_cell_length_b 4.309
_cell_length_c 19.731
_cell_angle_alpha 90.00
_cell_angle_beta 90.00
_cell_angle_gamma 120.00
loop_
_atom_site_label
_atom_site_type_symbol
_atom_site_fract_x
_atom_site_fract_y
_atom_site_fract_z
Cd1 Cd 0.000 0.000 0.000
Cd2 Cd 0.000 0.000 0.256
Cd3 Cd 0.000 0.000 0.744
Cd4 Cd 0.333 0.667 0.170
Cd5 Cd 0.333 0.667 0.426
Cd6 Cd 0.667 0.333 0.574
Cd7 Cd 0.667 0.333 0.830
Ga1 Ga 0.000 0.000 0.500
Hg1 Hg 0.333 0.667 0.659
Hg2 Hg 0.333 0.667 0.914
Hg3 Hg 0.667 0.333 0.086
Hg4 Hg 0.667 0.333 0.341
```

## Properties
ΔE_f   0.074 eV per atom
Calculated volume   26.4 Å³ per atom
Polymorph energy (0 for the lowest one)   0.008 eV/atom
Space-group type   No. 164

***

[5]
A plane-wave DFT calculation with PBE-GGA was carried out for crystalline Cd3GaHg8 at its relaxed geometry.

Geometry as CIF:
```
data_Cd3GaHg8
_chemical_formula_sum 'Cd3 Ga1 Hg8'
_space_group_name_H-M_alt 'P 1'
_space_group_IT_number 1
_space_group_name_Hall 'P 1'
_cell_length_a 7.482
_cell_length_b 7.482
_cell_length_c 8.001
_cell_angle_alpha 116.98
_cell_angle_beta 116.98
_cell_angle_gamma 89.99
loop_
_atom_site_label
_atom_site_type_symbol
_atom_site_fract_x
_atom_site_fract_y
_atom_site_fract_z
Cd1 Cd 0.000 0.000 0.000
Cd2 Cd 0.203 0.712 0.402
Cd3 Cd 0.712 0.203 0.402
Ga1 Ga 0.450 0.450 0.913
Hg1 Hg 0.160 0.160 0.502
Hg2 Hg 0.327 0.327 0.129
Hg3 Hg 0.332 0.801 0.110
Hg4 Hg 0.535 0.535 0.629
Hg5 Hg 0.644 0.975 0.607
Hg6 Hg 0.792 0.792 0.130
Hg7 Hg 0.801 0.332 0.110
Hg8 Hg 0.975 0.644 0.607
```

## Properties
ΔE_f   0.067 eV per atom
Calculated volume   28.6 Å³ per atom
Space-group type   No. 8

***

[6]
A plane-wave DFT calculation with PBE-GGA was carried out for crystalline Cd8GaHg4 at its relaxed geometry.

Geometry as CIF:
```
data_Cd8GaHg4
_chemical_formula_sum 'Cd8 Ga1 Hg4'
_space_group_name_H-M_alt 'P 1'
_space_group_IT_number 1
_space_group_name_Hall 'P 1'
_cell_length_a 6.978
_cell_length_b 6.978
_cell_length_c 6.715
_cell_angle_alpha 90.11
_cell_angle_beta 90.11
_cell_angle_gamma 88.40
loop_
_atom_site_label
_atom_site_type_symbol
_atom_site_fract_x
_atom_site_fract_y
_atom_site_fract_z
Cd1 Cd 0.242 0.758 0.248
Cd2 Cd 0.242 0.758 0.752
Cd3 Cd 0.243 0.243 0.240
Cd4 Cd 0.243 0.243 0.760
Cd5 Cd 0.757 0.757 0.240
Cd6 Cd 0.757 0.757 0.760
Cd7 Cd 0.758 0.242 0.248
Cd8 Cd 0.758 0.242 0.752
Ga1 Ga 0.500 0.500 0.500
Hg1 Hg 0.000 0.000 0.000
Hg2 Hg 0.000 0.500 0.500
Hg3 Hg 0.500 0.000 0.500
Hg4 Hg 0.500 0.500 0.000
```

## Properties
ΔE_f   0.046 eV per atom
Calculated volume   25.1 Å³ per atom
Space-group type   No. 12

***

[7]
A plane-wave DFT calculation with PBE-GGA was carried out for crystalline CdGa2Hg2 at its relaxed geometry.

Geometry as CIF:
```
data_CdGa2Hg2
_chemical_formula_sum 'Cd2 Ga4 Hg4'
_space_group_name_H-M_alt 'P 1'
_space_group_IT_number 1
_space_group_name_Hall 'P 1'
_cell_length_a 7.292
_cell_length_b 7.292
_cell_length_c 4.392
_cell_angle_alpha 90.00
_cell_angle_beta 90.00
_cell_angle_gamma 90.00
loop_
_atom_site_label
_atom_site_type_symbol
_atom_site_fract_x
_atom_site_fract_y
_atom_site_fract_z
Cd1 Cd 0.000 0.000 0.000
Cd2 Cd 0.500 0.500 0.000
Ga1 Ga 0.129 0.371 0.000
Ga2 Ga 0.371 0.871 0.000
Ga3 Ga 0.629 0.129 0.000
Ga4 Ga 0.871 0.629 0.000
Hg1 Hg 0.182 0.682 0.500
Hg2 Hg 0.318 0.182 0.500
Hg3 Hg 0.682 0.818 0.500
Hg4 Hg 0.818 0.318 0.500
```

## Properties
ΔE_f   0.077 eV per atom
Calculated volume   23.4 Å³ per atom
Polymorph energy (0 for the lowest one)   0.023 eV/atom
Space-group type   No. 127

***

[8]
A plane-wave DFT calculation with PBE-GGA was carried out for crystalline Cd8GaHg3 at its relaxed geometry.

Geometry as CIF:
```
data_Cd8GaHg3
_chemical_formula_sum 'Cd8 Ga1 Hg3'
_space_group_name_H-M_alt 'P 1'
_space_group_IT_number 1
_space_group_name_Hall 'P 1'
_cell_length_a 8.148
_cell_length_b 6.808
_cell_length_c 8.184
_cell_angle_alpha 65.09
_cell_angle_beta 49.27
_cell_angle_gamma 65.64
loop_
_atom_site_label
_atom_site_type_symbol
_atom_site_fract_x
_atom_site_fract_y
_atom_site_fract_z
Cd1 Cd 0.121 0.365 0.122
Cd2 Cd 0.123 0.877 0.123
Cd3 Cd 0.365 0.121 0.392
Cd4 Cd 0.365 0.611 0.389
Cd5 Cd 0.608 0.878 0.635
Cd6 Cd 0.611 0.365 0.635
Cd7 Cd 0.877 0.123 0.877
Cd8 Cd 0.878 0.608 0.879
Ga1 Ga 0.244 0.244 0.756
Hg1 Hg 0.493 0.493 0.007
Hg2 Hg 0.744 0.744 0.256
Hg3 Hg 0.993 0.993 0.507
```

## Properties
ΔE_f   0.041 eV per atom
Calculated volume   25.5 Å³ per atom
Space-group type   No. 42

***

[9]
A plane-wave DFT calculation with PBE-GGA was carried out for crystalline CdGa3Hg at its relaxed geometry.

Geometry as CIF:
```
data_CdGa3Hg
_chemical_formula_sum 'Cd2 Ga6 Hg2'
_space_group_name_H-M_alt 'P 1'
_space_group_IT_number 1
_space_group_name_Hall 'P 1'
_cell_length_a 6.597
_cell_length_b 6.597
_cell_length_c 7.573
_cell_angle_alpha 111.62
_cell_angle_beta 111.62
_cell_angle_gamma 45.92
loop_
_atom_site_label
_atom_site_type_symbol
_atom_site_fract_x
_atom_site_fract_y
_atom_site_fract_z
Cd1 Cd 0.048 0.048 0.345
Cd2 Cd 0.952 0.952 0.655
Ga1 Ga 0.161 0.161 0.064
Ga2 Ga 0.233 0.233 0.755
Ga3 Ga 0.324 0.324 0.461
Ga4 Ga 0.676 0.676 0.539
Ga5 Ga 0.767 0.767 0.245
Ga6 Ga 0.839 0.839 0.936
Hg1 Hg 0.442 0.442 0.155
Hg2 Hg 0.558 0.558 0.845
```

## Properties
ΔE_f   0.075 eV per atom
Calculated volume   21.7 Å³ per atom
Polymorph energy (0 for the lowest one)   0.000 eV/atom
Space-group type   No. 12

***

[10]
A plane-wave DFT calculation with PBE-GGA was carried out for crystalline Cd3GaHg6 at its relaxed geometry.

Geometry as CIF:
```
data_Cd3GaHg6
_chemical_formula_sum 'Cd6 Ga2 Hg12'
_space_group_name_H-M_alt 'P 1'
_space_group_IT_number 1
_space_group_name_Hall 'P 1'
_cell_length_a 9.175
_cell_length_b 9.175
_cell_length_c 6.184
_cell_angle_alpha 90.00
_cell_angle_beta 90.00
_cell_angle_gamma 80.00
loop_
_atom_site_label
_atom_site_type_symbol
_atom_site_fract_x
_atom_site_fract_y
_atom_site_fract_z
Cd1 Cd 0.026 0.974 0.500
Cd2 Cd 0.209 0.494 0.598
Cd3 Cd 0.494 0.209 0.098
Cd4 Cd 0.506 0.791 0.598
Cd5 Cd 0.791 0.506 0.098
Cd6 Cd 0.974 0.026 0.000
Ga1 Ga 0.286 0.714 0.293
Ga2 Ga 0.714 0.286 0.793
Hg1 Hg 0.025 0.280 0.707
Hg2 Hg 0.152 0.378 0.143
Hg3 Hg 0.211 0.789 0.820
Hg4 Hg 0.280 0.025 0.207
Hg5 Hg 0.378 0.152 0.643
Hg6 Hg 0.461 0.539 0.960
Hg7 Hg 0.539 0.461 0.460
Hg8 Hg 0.622 0.848 0.143
Hg9 Hg 0.720 0.975 0.707
Hg10 Hg 0.789 0.211 0.320
Hg11 Hg 0.848 0.622 0.643
Hg12 Hg 0.975 0.720 0.207
```

## Properties
ΔE_f   0.046 eV per atom
Calculated volume   25.6 Å³ per atom
Polymorph energy (0 for the lowest one)   0.000 eV/atom
Space-group type   No. 36

***

[11]
A plane-wave DFT calculation with PBE-GGA was carried out for crystalline Cd8Ga3Hg2 at its relaxed geometry.

Geometry as CIF:
```
data_Cd8Ga3Hg2
_chemical_formula_sum 'Cd8 Ga3 Hg2'
_space_group_name_H-M_alt 'P 1'
_space_group_IT_number 1
_space_group_name_Hall 'P 1'
_cell_length_a 8.609
_cell_length_b 8.609
_cell_length_c 4.531
_cell_angle_alpha 95.22
_cell_angle_beta 95.22
_cell_angle_gamma 68.05
loop_
_atom_site_label
_atom_site_type_symbol
_atom_site_fract_x
_atom_site_fract_y
_atom_site_fract_z
Cd1 Cd 0.070 0.070 0.286
Cd2 Cd 0.127 0.586 0.947
Cd3 Cd 0.353 0.353 0.433
Cd4 Cd 0.414 0.873 0.053
Cd5 Cd 0.586 0.127 0.947
Cd6 Cd 0.647 0.647 0.567
Cd7 Cd 0.873 0.414 0.053
Cd8 Cd 0.930 0.930 0.714
Ga1 Ga 0.276 0.724 0.500
Ga2 Ga 0.500 0.500 0.000
Ga3 Ga 0.724 0.276 0.500
Hg1 Hg 0.208 0.208 0.835
Hg2 Hg 0.792 0.792 0.165
```

## Properties
ΔE_f   0.063 eV per atom
Calculated volume   23.8 Å³ per atom
Polymorph energy (0 for the lowest one)   0.000 eV/atom
Space-group type   No. 12

***

[12]
A plane-wave DFT calculation with PBE-GGA was carried out for crystalline Cd3Ga2Hg6 at its relaxed geometry.

Geometry as CIF:
```
data_Cd3Ga2Hg6
_chemical_formula_sum 'Cd3 Ga2 Hg6'
_space_group_name_H-M_alt 'P 1'
_space_group_IT_number 1
_space_group_name_Hall 'P 1'
_cell_length_a 4.210
_cell_length_b 4.210
_cell_length_c 20.256
_cell_angle_alpha 97.84
_cell_angle_beta 97.84
_cell_angle_gamma 52.39
loop_
_atom_site_label
_atom_site_type_symbol
_atom_site_fract_x
_atom_site_fract_y
_atom_site_fract_z
Cd1 Cd 0.000 0.000 0.000
Cd2 Cd 0.458 0.458 0.188
Cd3 Cd 0.542 0.542 0.812
Ga1 Ga 0.089 0.089 0.634
Ga2 Ga 0.911 0.911 0.366
Hg1 Hg 0.187 0.187 0.282
Hg2 Hg 0.270 0.270 0.906
Hg3 Hg 0.364 0.364 0.549
Hg4 Hg 0.636 0.636 0.451
Hg5 Hg 0.730 0.730 0.094
Hg6 Hg 0.813 0.813 0.718
```

## Properties
ΔE_f   0.039 eV per atom
Calculated volume   25.6 Å³ per atom
Polymorph energy (0 for the lowest one)   0.000 eV/atom
Space-group type   No. 12